A relaxed structure of PmMg11Rh, computed with PBE-GGA.

Calculated values
Its energy is -2.419 eV per atom. For the total magnetization, the calculation gives 0.000 μB per cell. The density of states at the Fermi level is 6.8 states/eV/f.u. For the theoretical density, the calculation gives 2.94 g/cm³. The energy of formation from the pure elements is -139 meV per atom.

```
data_PmMg11Rh
_chemical_formula_sum 'Pm2 Mg22 Rh2'
_cell_length_a 5.6518
_cell_length_b 14.3595
_cell_length_c 7.6827
_cell_angle_alpha 90.00
_cell_angle_beta 110.91
_cell_angle_gamma 90.00
_space_group_name_H-M_alt 'C 1 2/m 1'
_space_group_IT_number 12
loop_
_space_group_symop_operation_xyz
'x,y,z'
'-x,-y,-z'
'-x,y,-z'
'x,-y,z'
'x+1/2,y+1/2,z'
'-x+1/2,-y+1/2,-z'
'-x+1/2,y+1/2,-z'
'x+1/2,-y+1/2,z'
loop_
_atom_site_label
_atom_site_type_symbol
_atom_site_fract_x
_atom_site_fract_y
_atom_site_fract_z
Pm1 Pm 0.0000 0.0000 0.0000
Mg1 Mg 0.0000 0.0000 0.5000
Mg2 Mg 0.0956 0.3983 0.2219
Mg3 Mg 0.1962 0.1663 0.3621
Mg4 Mg 0.2500 0.2500 0.0000
Rh1 Rh 0.0000 0.5000 0.5000
```